[1]
# CsAg3Pb4Br12

An optimized crystal structure of CsAg3Pb4Br12 (PBE, Alexandria).

The structure in CIF format:
```
data_CsAg3Pb4Br12
_cell_length_a 11.2437
_cell_length_b 11.2437
_cell_length_c 11.2437
_cell_angle_alpha 90.00
_cell_angle_beta 90.00
_cell_angle_gamma 90.00
_symmetry_space_group_name_H-M 'I m -3'
_symmetry_Int_Tables_number 204
_symmetry_space_group_name_Hall '-I 2 2 3'
loop_
_atom_site_label
_atom_site_fract_x
_atom_site_fract_y
_atom_site_fract_z
Cs1 0.0000 0.0000 0.0000
Ag1 0.0000 0.0000 0.5000
Pb1 0.2500 0.2500 0.2500
Br1 0.0000 0.1691 0.3165
```

## Properties
The formation energy (no corrections) is -803 meV per atom.

[2]
# NaCd2Ga

An optimized crystal structure of NaCd2Ga (PBE, Alexandria).

The structure in CIF format:
```
data_NaCd2Ga
_cell_length_a 4.5978
_cell_length_b 10.3690
_cell_length_c 7.8595
_cell_angle_alpha 90.00
_cell_angle_beta 90.00
_cell_angle_gamma 90.00
_symmetry_space_group_name_H-M 'C m c m'
_symmetry_Int_Tables_number 63
_symmetry_space_group_name_Hall '-C 2c 2'
loop_
_atom_site_label
_atom_site_fract_x
_atom_site_fract_y
_atom_site_fract_z
Na1 0.0000 0.0664 0.2500
Cd1 0.0000 0.3619 0.0573
Ga1 0.0000 0.2254 0.7500
```

## Properties
The formation energy is -8.6 kJ/mol of atoms.

[3]
# KSmCd17

An optimized crystal structure of KSmCd17 (PBE, Alexandria).

The structure in CIF format:
```
data_KSmCd17
_cell_length_a 10.2187
_cell_length_b 10.2187
_cell_length_c 15.1367
_cell_angle_alpha 90.00
_cell_angle_beta 90.00
_cell_angle_gamma 120.00
_symmetry_space_group_name_H-M 'R 3 m'
_symmetry_Int_Tables_number 160
_symmetry_space_group_name_Hall 'R 3 -2"'
loop_
_atom_site_label
_atom_site_fract_x
_atom_site_fract_y
_atom_site_fract_z
K1 0.0000 0.0000 0.0000
Sm1 0.0000 0.0000 0.6671
Cd1 0.0000 0.0000 0.2443
Cd2 0.0000 0.0000 0.4431
Cd3 0.0022 0.2992 0.3368
Cd4 0.0132 0.5066 0.1926
Cd5 0.0202 0.5101 0.8329
Cd6 0.0421 0.5210 0.4857
```

## Properties
The formation energy is -9.2 kJ/mol of atoms.